# 1
## TmSc2Ni (PBE-GGA)

Data for an optimized crystal structure of TmSc2Ni.

a b c (Å): 4.511 10.918 7.114
angles (deg): 90.00 90.00 90.00
Space group Cmcm (No. 63)
One atom of each set of equivalent atoms:
Tm 0.000 0.048 0.250
Sc 0.000 0.344 0.039
Ni 0.000 0.199 0.750

For the volume, the calculation gives 350.4 Å³/cell. The value obtained for the distance to the lowest polymorph of the same formula is 0.031 eV per atom. The value obtained for the total energy is -5.97 eV/atom.


# 2
## SrH (PBE-GGA)

Data for an optimized crystal structure of SrH.

a b c (Å): 4.092 12.289 6.035
angles (deg): 90.00 90.00 90.00
Space group Pmmn (No. 59, origin choice 2)
One atom of each set of equivalent atoms:
Sr 0.250 0.085 0.215
Sr 0.250 0.750 0.282
H 0.250 0.250 0.467
H 0.250 0.594 0.018

For the volume, the calculation gives 303.5 Å³/cell. The value obtained for the total energy is -2.83 eV/atom.


# 3
## LiTaPS2 (PBE-GGA)

Data for an optimized crystal structure of LiTaPS2.

a b c (Å): 4.801 4.801 4.878
angles (deg): 90.00 90.00 90.00
Space group P4/mmm (No. 123)
One atom of each set of equivalent atoms:
Li 0.000 0.000 0.000
Ta 0.500 0.500 0.500
P 0.500 0.500 0.000
S 0.000 0.500 0.500

For the volume, the calculation gives 112.5 Å³/cell. The value obtained for the distance to the lowest polymorph of the same formula is 0.000 eV per atom. The value obtained for the total energy is -5.89 eV/atom. Its formation energy without anion corrections is -0.40 eV per atom.


Question: Which of these has the highest volume?
Answer: TmSc2Ni